# 1
An optimized crystal structure of InSnAu2. Source: Alexandria via LeMat-Bulk, functional PBE.

a b c (Å): 3.509 3.509 7.131
angles (deg): 90.00 90.00 90.00
Positions (direct):
Au: 0.000 0.000 0.243
Sn: 0.500 0.500 0.500
In: 0.500 0.500 0.000
Au: 0.000 0.000 0.757

Output
**Crystal system**: tetragonal
**Energy of formation**: -0.066 eV per atom

=====

# 2
An optimized crystal structure of Zr2TaPt9. Source: Alexandria via LeMat-Bulk, functional PBE.

a b c (Å): 4.034 4.034 12.114
angles (deg): 90.00 90.00 90.00
Positions (direct):
Pt: 0.500 0.000 0.500
Pt: 0.500 0.500 0.669
Zr: 0.000 0.000 0.333
Ta: 0.000 0.000 0.000
Pt: 0.500 0.000 0.162
Pt: 0.000 0.500 0.162
Pt: 0.500 0.500 0.000
Pt: 0.000 0.500 0.838
Pt: 0.500 0.500 0.331
Zr: 0.000 0.000 0.667
Pt: 0.000 0.500 0.500
Pt: 0.500 0.000 0.838

Output
**Crystal system**: tetragonal
**Energy of formation**: -0.867 eV per atom

=====

Look up the energy of formation of the first one. -0.066 eV per atom

=====

Copy entry 1 word for word.
An optimized crystal structure of InSnAu2. Source: Alexandria via LeMat-Bulk, functional PBE.

a b c (Å): 3.509 3.509 7.131
angles (deg): 90.00 90.00 90.00
Positions (direct):
Au: 0.000 0.000 0.243
Sn: 0.500 0.500 0.500
In: 0.500 0.500 0.000
Au: 0.000 0.000 0.757

Output
**Crystal system**: tetragonal
**Energy of formation**: -0.066 eV per atom

=====

The lowest energy of formation belongs to which entry? Zr2TaPt9

=====

Which of these has the highest energy of formation? InSnAu2